Entry 1:
First-principles (PBE-GGA) data for a geometry-optimized MnBeSb structure, as listed in Alexandria via LeMat-Bulk.

Cell: 4.1871 4.1871 4.1871 Å, 60.00 60.00 60.00°
Fractional positions:
Sb: 0.0000 0.0000 0.0000
Mn: 0.7500 0.7500 0.7500
Be: 0.5000 0.5000 0.5000

Output
Mass density in Mg/m³: 5.9
D(E_F) in states/eV/cell: 2.35
Total DFT energy (no corrections) in eV/atom: -5.352
Energy above the most stable polymorph in this dataset in eV per formula unit: 0.41
Formation energy (no corrections) in eV/atom: 0.321


Entry 2:
First-principles (PBE-GGA) data for a geometry-optimized Tl3SnAu2 structure, as listed in Alexandria via LeMat-Bulk.

Cell: 3.9763 8.7190 10.1481 Å, 77.29 78.70 76.82°
Fractional positions:
Tl: 0.0463 0.1392 0.7682
Tl: 0.9537 0.8608 0.2318
Tl: 0.6168 0.8054 0.9609
Tl: 0.3832 0.1946 0.0391
Tl: 0.7532 0.8684 0.6251
Tl: 0.2468 0.1316 0.3749
Sn: 0.3925 0.5109 0.7041
Sn: 0.6075 0.4891 0.2959
Au: 0.8150 0.4692 0.9009
Au: 0.1850 0.5308 0.0991
Au: 0.5914 0.2700 0.5472
Au: 0.4086 0.7300 0.4528

Output
Mass density in Mg/m³: 11.3
D(E_F) in states/eV/cell: 3.99
Total DFT energy (no corrections) in eV/atom: -3.003
Formation energy from the elements in meV per atom: -60


Entry 3:
First-principles (PBE-GGA) data for a geometry-optimized MgTi2HPd structure, as listed in Alexandria via LeMat-Bulk.

Cell: 3.8997 3.8997 4.4972 Å, 90.00 90.00 90.00°
Fractional positions:
H: 0.0000 0.0000 0.0000
Mg: 0.0000 0.0000 0.5000
Pd: 0.5000 0.5000 0.5000
Ti: 0.0000 0.5000 0.0000
Ti: 0.5000 0.0000 0.0000

Output
Mass density in Mg/m³: 5.5
D(E_F) in states/eV/cell: 3.56
Total DFT energy (no corrections) in eV/atom: -5.486
Energy above the most stable polymorph in this dataset in eV per formula unit: 0.00


Entry 4:
First-principles (PBE-GGA) data for a geometry-optimized YCoSe structure, as listed in Alexandria via LeMat-Bulk.

Cell: 3.6364 5.4002 7.2723 Å, 90.00 90.00 109.68°
Fractional positions:
Co: 0.2799 0.5597 0.0000
Co: 0.6765 0.3529 0.5000
Se: 0.7894 0.5787 0.7881
Se: 0.7894 0.5787 0.2119
Y: 0.0658 0.1315 0.7340
Y: 0.0658 0.1315 0.2660

Output
Mass density in Mg/m³: 5.6
D(E_F) in states/eV/cell: 3.80
Total DFT energy (no corrections) in eV/atom: -6.180
Formation energy (no corrections) in eV/atom: -0.496


Entry 5:
First-principles (PBE-GGA) data for a geometry-optimized CsNbP2 structure, as listed in Alexandria via LeMat-Bulk.

Cell: 7.3635 7.3635 7.4558 Å, 60.41 60.41 90.00°
Fractional positions:
Cs: 0.0000 0.0000 0.0000
Cs: 0.7500 0.2500 0.5000
P: 0.4620 0.1250 0.2500
P: 0.2880 0.6250 0.2500
P: 0.3750 0.5380 0.7500
P: 0.8750 0.7120 0.7500
Nb: 0.5000 0.5000 0.0000
Nb: 0.2500 0.7500 0.5000

Output
Mass density in Mg/m³: 3.3
D(E_F) in states/eV/cell: 0.08
Total DFT energy (no corrections) in eV/atom: -5.778
Energy above the most stable polymorph in this dataset in eV per formula unit: 0.00
Formation energy from the elements in meV per atom: -342


Entry 6:
First-principles (PBE-GGA) data for a geometry-optimized Y2ZrRu structure, as listed in Alexandria via LeMat-Bulk.

Cell: 9.8071 9.8071 9.8071 Å, 20.05 20.05 20.05°
Fractional positions:
Ru: 0.7500 0.7500 0.7500
Y: 0.0135 0.0135 0.0135
Y: 0.4865 0.4865 0.4865
Zr: 0.2500 0.2500 0.2500

Output
Mass density in Mg/m³: 6.3
D(E_F) in states/eV/cell: 6.50
Total DFT energy (no corrections) in eV/atom: -7.599
Energy above the most stable polymorph in this dataset in eV per formula unit: 1.32
Formation energy from the elements in meV per atom: 89


Entry 7:
First-principles (PBE-GGA) data for a geometry-optimized TiZn6Ag structure, as listed in Alexandria via LeMat-Bulk.

Cell: 4.1175 4.1175 7.2212 Å, 90.00 90.00 90.00°
Fractional positions:
Ti: 0.0000 0.0000 0.5000
Zn: 0.5000 0.5000 0.0000
Zn: 0.5000 0.5000 0.5000
Zn: 0.5000 0.0000 0.2532
Zn: 0.5000 0.0000 0.7468
Zn: 0.0000 0.5000 0.2532
Zn: 0.0000 0.5000 0.7468
Ag: 0.0000 0.0000 0.0000

Output
Mass density in Mg/m³: 7.4
D(E_F) in states/eV/cell: 3.72
Total DFT energy (no corrections) in eV/atom: -2.388
Energy above the most stable polymorph in this dataset in eV per formula unit: 0.00
Formation energy from the elements in meV per atom: -90


Entry 8:
First-principles (PBE-GGA) data for a geometry-optimized Y4RePt2 structure, as listed in Alexandria via LeMat-Bulk.

Cell: 5.2019 5.2019 8.0054 Å, 71.04 71.04 90.00°
Fractional positions:
Y: 0.8077 0.8077 0.3846
Y: 0.1923 0.1923 0.6154
Y: 0.0000 0.5000 0.0000
Y: 0.5000 0.0000 0.0000
Re: 0.0000 0.0000 0.0000
Pt: 0.6161 0.6161 0.7679
Pt: 0.3839 0.3839 0.2321

Output
Mass density in Mg/m³: 8.0
D(E_F) in states/eV/cell: 3.21
Total DFT energy (no corrections) in eV/atom: -7.341
Formation energy from the elements in meV per atom: -143


Entry 9:
First-principles (PBE-GGA) data for a geometry-optimized Sc2Cr2Re structure, as listed in Alexandria via LeMat-Bulk.

Cell: 6.1095 6.1095 4.5534 Å, 90.00 90.00 90.00°
Fractional positions:
Sc: 0.1771 0.6771 0.5000
Sc: 0.6771 0.8229 0.5000
Sc: 0.8229 0.3229 0.5000
Sc: 0.3229 0.1771 0.5000
Re: 0.0000 0.0000 0.0000
Re: 0.5000 0.5000 0.0000
Cr: 0.3728 0.8728 0.0000
Cr: 0.8728 0.6272 0.0000
Cr: 0.6272 0.1272 0.0000
Cr: 0.1272 0.3728 0.0000

Output
Mass density in Mg/m³: 7.4
D(E_F) in states/eV/cell: 9.95
Total DFT energy (no corrections) in eV/atom: -8.737
Formation energy from the elements in meV per atom: 135


Entry 10:
First-principles (PBE-GGA) data for a geometry-optimized Sr2YPb structure, as listed in Alexandria via LeMat-Bulk.

Cell: 3.8403 3.8403 10.4303 Å, 90.00 90.00 90.00°
Fractional positions:
Pb: 0.5000 0.5000 0.7500
Sr: 0.0000 0.0000 0.9664
Sr: 0.0000 0.0000 0.5336
Y: 0.5000 0.5000 0.2500

Output
Mass density in Mg/m³: 5.1
D(E_F) in states/eV/cell: 5.85
Total DFT energy (no corrections) in eV/atom: -3.505
Formation energy from the elements in meV per atom: -121


Entry 11:
First-principles (PBE-GGA) data for a geometry-optimized Sb3Au12I5 structure, as listed in Alexandria via LeMat-Bulk.

Cell: 14.3692 14.3692 14.3692 Å, 109.47 109.47 109.47°
Fractional positions:
Sb: 0.7500 0.3750 0.1250
Sb: 0.8750 0.7500 0.1250
Sb: 0.3750 0.7500 0.6250
Sb: 0.2500 0.1250 0.3750
Sb: 0.8750 0.1250 0.2500
Sb: 0.3750 0.6250 0.2500
Sb: 0.6250 0.3750 0.7500
Sb: 0.1250 0.8750 0.7500
Sb: 0.7500 0.8750 0.6250
Sb: 0.6250 0.2500 0.3750
Sb: 0.1250 0.2500 0.8750
Sb: 0.2500 0.6250 0.8750
I: 0.1250 0.3750 0.2500
I: 0.0000 0.5000 0.0000
I: 0.0000 0.0000 0.0000
I: 0.3750 0.2500 0.1250
I: 0.5000 0.0000 0.5000
I: 0.5000 0.5000 0.0000
I: 0.1250 0.7500 0.3750
I: 0.7500 0.1250 0.8750
I: 0.7500 0.6250 0.3750
I: 0.3750 0.1250 0.7500
I: 0.6250 0.8750 0.2500
I: 0.5000 0.5000 0.5000
I: 0.5000 0.0000 0.0000
I: 0.0000 0.0000 0.5000
I: 0.2500 0.3750 0.6250
I: 0.2500 0.8750 0.1250
I: 0.0000 0.5000 0.5000
I: 0.8750 0.2500 0.6250
I: 0.6250 0.7500 0.8750
I: 0.8750 0.6250 0.7500
Au: 0.7480 0.1423 0.0758
Au: 0.3277 0.5758 0.4335
Au: 0.9242 0.3577 0.2520
Au: 0.5758 0.2480 0.1423
Au: 0.6057 0.7480 0.6723
Au: 0.9242 0.5665 0.1723
Au: 0.3277 0.7520 0.3943
Au: 0.0665 0.8943 0.1423
Au: 0.5665 0.9242 0.6723
Au: 0.7480 0.6057 0.1723
Au: 0.7520 0.4242 0.3577
Au: 0.8277 0.9335 0.0758
Au: 0.1423 0.7480 0.5758
Au: 0.3577 0.4335 0.1057
Au: 0.1057 0.9335 0.3577
Au: 0.3943 0.1423 0.5665
Au: 0.1057 0.1723 0.2480
Au: 0.4242 0.6723 0.0665
Au: 0.8277 0.8943 0.2520
Au: 0.1423 0.3943 0.0665
Au: 0.3577 0.9242 0.7520
Au: 0.5665 0.6423 0.3943
Au: 0.9335 0.8277 0.5758
Au: 0.7520 0.3277 0.8943
Au: 0.4335 0.3577 0.6057
Au: 0.0665 0.1723 0.4242
Au: 0.2480 0.6723 0.1057
Au: 0.1723 0.1057 0.7480
Au: 0.6423 0.0758 0.2480
Au: 0.8577 0.6057 0.9335
Au: 0.5758 0.3277 0.9335
Au: 0.6057 0.8577 0.4335
Au: 0.8943 0.8277 0.7520
Au: 0.8943 0.0665 0.6423
Au: 0.8577 0.2520 0.4242
Au: 0.1723 0.0665 0.9242
Au: 0.6423 0.5665 0.8943
Au: 0.4335 0.0758 0.3277
Au: 0.2520 0.3943 0.8277
Au: 0.2480 0.5758 0.6423
Au: 0.9335 0.1057 0.8577
Au: 0.6723 0.2480 0.6057
Au: 0.4242 0.7520 0.8577
Au: 0.0758 0.4335 0.8277
Au: 0.3943 0.2520 0.3277
Au: 0.0758 0.6423 0.7480
Au: 0.6723 0.4242 0.5665
Au: 0.2520 0.8577 0.9242

Output
Mass density in Mg/m³: 9.8
D(E_F) in states/eV/cell: 16.48
Total DFT energy (no corrections) in eV/atom: -2.819
Formation energy (no corrections) in eV/atom: 0.153


Entry 12:
First-principles (PBE-GGA) data for a geometry-optimized SmBi structure, as listed in Alexandria via LeMat-Bulk.

Cell: 4.2008 4.2008 3.4396 Å, 90.00 90.00 90.00°
Fractional positions:
Bi: 0.5000 0.5000 0.5000
Sm: 0.0000 0.0000 0.0000

Output
Mass density in Mg/m³: 9.8
D(E_F) in states/eV/cell: 1.14
Total DFT energy (no corrections) in eV/atom: -5.029
Energy above the most stable polymorph in this dataset in eV per formula unit: 0.39
Formation energy from the elements in meV per atom: -729


Entry 13:
First-principles (PBE-GGA) data for a geometry-optimized Rb3HBr structure, as listed in Alexandria via LeMat-Bulk.

Cell: 5.9453 5.9453 5.9453 Å, 90.00 90.00 90.00°
Fractional positions:
H: 0.0000 0.0000 0.0000
Br: 0.5000 0.5000 0.5000
Rb: 0.0000 0.5000 0.0000
Rb: 0.0000 0.0000 0.5000
Rb: 0.5000 0.0000 0.0000

Output
Mass density in Mg/m³: 2.7
D(E_F) in states/eV/cell: 1.91
Total DFT energy (no corrections) in eV/atom: -2.129


Entry 14:
First-principles (PBE-GGA) data for a geometry-optimized YSiNi structure, as listed in Alexandria via LeMat-Bulk.

Cell: 4.3212 4.3212 4.3212 Å, 60.00 60.00 60.00°
Fractional positions:
Ni: 0.7500 0.7500 0.7500
Si: 0.0000 0.0000 0.0000
Y: 0.5000 0.5000 0.5000

Output
Mass density in Mg/m³: 5.1
D(E_F) in states/eV/cell: 6.80
Total DFT energy (no corrections) in eV/atom: -6.403
Formation energy (no corrections) in eV/atom: -0.514


Entry 15:
First-principles (PBE-GGA) data for a geometry-optimized La2MnRh structure, as listed in Alexandria via LeMat-Bulk.

Cell: 3.6751 3.6937 8.1680 Å, 62.42 90.00 90.00°
Fractional positions:
La: 0.0000 0.0237 0.9825
La: 0.0000 0.4763 0.5175
Mn: 0.5000 0.2500 0.2500
Rh: 0.5000 0.7500 0.7500

Output
Mass density in Mg/m³: 7.4
D(E_F) in states/eV/cell: 3.31
Total DFT energy (no corrections) in eV/atom: -6.768
Energy above the most stable polymorph in this dataset in eV per formula unit: 0.31
Formation energy from the elements in meV per atom: -174


Entry 16:
First-principles (PBE-GGA) data for a geometry-optimized BeMoPIr structure, as listed in Alexandria via LeMat-Bulk.

Cell: 5.2225 3.2590 8.0646 Å, 90.00 129.36 90.00°
Fractional positions:
P: 0.0472 0.0000 0.1680
P: 0.0472 0.5000 0.6680
Mo: 0.9492 0.0000 0.4160
Mo: 0.9492 0.5000 0.9160
Ir: 0.4523 0.0000 0.9116
Ir: 0.4523 0.5000 0.4116
Be: 0.5327 0.0000 0.6510
Be: 0.5327 0.5000 0.1510

Output
Mass density in Mg/m³: 10.3
D(E_F) in states/eV/cell: 3.81
Total DFT energy (no corrections) in eV/atom: -7.533
Energy above the most stable polymorph in this dataset in eV per formula unit: 0.60
Formation energy from the elements in meV per atom: -326


Entry 17:
First-principles (PBE-GGA) data for a geometry-optimized La3SnO structure, as listed in Alexandria via LeMat-Bulk.

Cell: 4.9358 8.3892 7.0312 Å, 114.78 90.00 90.00°
Fractional positions:
Sn: 0.7124 0.8927 0.5280
Sn: 0.7124 0.3634 0.2632
O: 0.2124 0.3810 0.7720
O: 0.2124 0.8751 0.0191
La: 0.7124 0.8997 0.0315
La: 0.7124 0.3564 0.7596
La: 0.2124 0.1280 0.8956
La: 0.2124 0.6279 0.1470
La: 0.2124 0.6282 0.6441
La: 0.2124 0.1280 0.3956

Output
Mass density in Mg/m³: 6.9
D(E_F) in states/eV/cell: 8.31
Total DFT energy (no corrections) in eV/atom: -6.237
Formation energy (no corrections) in eV/atom: -1.488


Entry 18:
First-principles (PBE-GGA) data for a geometry-optimized MgZrAu2 structure, as listed in Alexandria via LeMat-Bulk.

Cell: 3.0873 3.3681 7.3126 Å, 90.00 90.00 90.00°
Fractional positions:
Mg: 0.5000 0.5000 0.2500
Au: 0.0000 0.0000 0.0124
Au: 0.0000 0.0000 0.4876
Zr: 0.5000 0.5000 0.7500

Output
Mass density in Mg/m³: 11.1
D(E_F) in states/eV/cell: 2.55
Total DFT energy (no corrections) in eV/atom: -4.736
Formation energy from the elements in meV per atom: -561


Entry 19:
First-principles (PBE-GGA) data for a geometry-optimized ErPuGaTc structure, as listed in Alexandria via LeMat-Bulk.

Cell: 4.9029 4.9029 4.9029 Å, 60.00 60.00 60.00°
Fractional positions:
Er: 0.5000 0.5000 0.5000
Tc: 0.7500 0.7500 0.7500
Ga: 0.2500 0.2500 0.2500
Pu: 0.0000 0.0000 0.0000

Output
Mass density in Mg/m³: 11.5
D(E_F) in states/eV/cell: 8.92
Total DFT energy (no corrections) in eV/atom: -8.189
Formation energy from the elements in meV per atom: -117


Entry 20:
First-principles (PBE-GGA) data for a geometry-optimized Rb3S2O8 structure, as listed in Alexandria via LeMat-Bulk.

Cell: 8.3205 8.3205 10.2364 Å, 77.02 77.02 42.95°
Fractional positions:
Rb: 0.2303 0.7697 0.7500
Rb: 0.7697 0.2303 0.2500
Rb: 0.5407 0.0903 0.6515
Rb: 0.9097 0.4593 0.8485
Rb: 0.4593 0.9097 0.3485
Rb: 0.0903 0.5407 0.1515
S: 0.1057 0.6671 0.4675
S: 0.3329 0.8943 0.0325
S: 0.8943 0.3329 0.5325
S: 0.6671 0.1057 0.9675
O: 0.8801 0.8146 0.4086
O: 0.1854 0.1199 0.0914
O: 0.1199 0.1854 0.5914
O: 0.8146 0.8801 0.9086
O: 0.1752 0.7974 0.4403
O: 0.2026 0.8248 0.0597
O: 0.8248 0.2026 0.5597
O: 0.7974 0.1752 0.9403
O: 0.0830 0.6143 0.6149
O: 0.3857 0.9170 0.8851
O: 0.9170 0.3857 0.3851
O: 0.6143 0.0830 0.1149
O: 0.3042 0.4442 0.3995
O: 0.5558 0.6958 0.1005
O: 0.6958 0.5558 0.6005
O: 0.4442 0.3042 0.8995

Output
Mass density in Mg/m³: 3.2
D(E_F) in states/eV/cell: 6.23
Total DFT energy (no corrections) in eV/atom: -5.588
Energy above the most stable polymorph in this dataset in eV per formula unit: 0.00
Formation energy (no corrections) in eV/atom: -1.679


Entry 21:
First-principles (PBE-GGA) data for a geometry-optimized MnCu2AgBr6 structure, as listed in Alexandria via LeMat-Bulk.

Cell: 6.8688 8.7840 8.7840 Å, 87.70 82.67 82.67°
Fractional positions:
Mn: 0.2500 0.2636 0.7364
Mn: 0.7500 0.7364 0.2636
Cu: 0.2041 0.7613 0.5860
Cu: 0.2959 0.4140 0.2387
Cu: 0.7959 0.2387 0.4140
Cu: 0.7041 0.5860 0.7613
Ag: 0.2500 0.9199 0.0801
Ag: 0.7500 0.0801 0.9199
Br: 0.1395 0.9751 0.7749
Br: 0.3605 0.2251 0.0249
Br: 0.8605 0.0249 0.2251
Br: 0.6395 0.7749 0.9751
Br: 0.4078 0.8606 0.3703
Br: 0.0922 0.6297 0.1394
Br: 0.5922 0.1394 0.6297
Br: 0.9078 0.3703 0.8606
Br: 0.8709 0.7183 0.5427
Br: 0.6291 0.4573 0.2817
Br: 0.1291 0.2817 0.4573
Br: 0.3709 0.5427 0.7183

Output
Mass density in Mg/m³: 4.9
D(E_F) in states/eV/cell: 12.44
Total DFT energy (no corrections) in eV/atom: -3.460
Formation energy (no corrections) in eV/atom: -0.435